[1]
# ScV3Tc | Alexandria | PBE | optimized geometry
# M_tot: 1.2 μB per formula unit
# formation enthalpy at 0 K: 3.79 eV per formula unit
# energy relative to the lowest polymorph listed for this composition: 0.000 eV/atom
data_ScV3Tc
_cell_length_a 4.5660
_cell_length_b 4.5660
_cell_length_c 4.5660
_cell_angle_alpha 90.00
_cell_angle_beta 90.00
_cell_angle_gamma 90.00
_symmetry_space_group_name_H-M 'P m -3 m'
_symmetry_Int_Tables_number 221
_symmetry_space_group_name_Hall '-P 4 2 3'
loop_
_atom_site_label
_atom_site_type_symbol
_atom_site_fract_x
_atom_site_fract_y
_atom_site_fract_z
_atom_site_occupancy
Sc1 Sc 0.0000 0.0000 0.0000 1
V1 V 0.0000 0.5000 0.5000 1
Tc1 Tc 0.5000 0.5000 0.5000 1


[2]
# NdScGe2Ru | Alexandria | PBE | optimized geometry
# M_tot: 0.0 μB per formula unit
# formation enthalpy at 0 K: -3.77 eV per formula unit
data_NdScGe2Ru
_cell_length_a 4.1118
_cell_length_b 4.1118
_cell_length_c 11.7780
_cell_angle_alpha 90.00
_cell_angle_beta 90.00
_cell_angle_gamma 90.00
_symmetry_space_group_name_H-M 'I -4 m 2'
_symmetry_Int_Tables_number 119
_symmetry_space_group_name_Hall 'I -4 -2'
loop_
_atom_site_label
_atom_site_type_symbol
_atom_site_fract_x
_atom_site_fract_y
_atom_site_fract_z
_atom_site_occupancy
Nd1 Nd 0.0000 0.0000 0.0000 1
Sc1 Sc 0.0000 0.5000 0.7500 1
Ge1 Ge 0.0000 0.0000 0.3924 1
Ru1 Ru 0.0000 0.5000 0.2500 1